1.
This record from Alexandria via LeMat-Bulk describes Pa3O after structural relaxation. The functional is PBE.

a = 5.592 Å, b = 5.592 Å, c = 5.592 Å
α = 147.53°, β = 71.88°, γ = 117.86°
Positions (direct):
Pa (0.000, 0.000, 0.000)
Pa (0.329, 0.515, 0.814)
Pa (0.701, 0.515, 0.186)
O (0.387, 0.887, 0.500)

Results
**Formation energy (no corrections)**: -0.844 eV/atom
**M_tot**: 0.000 μB/f.u.
**Polymorph energy (0 for the lowest one)**: 0 kJ/mol of formula units
**D(E_F)**: 1.779 states/eV/atom
**Crystal system**: orthorhombic
**Space-group type**: Imm2



2.
This record from Alexandria via LeMat-Bulk describes Tb5Hg2N after structural relaxation. The functional is PBE.

a = 10.263 Å, b = 10.263 Å, c = 12.967 Å
α = 90.00°, β = 90.00°, γ = 159.35°
Positions (direct):
Tb (0.075, 0.925, 0.606)
Tb (0.075, 0.925, 0.894)
Tb (0.304, 0.696, 0.250)
Tb (0.314, 0.686, 0.555)
Tb (0.314, 0.686, 0.945)
Tb (0.686, 0.314, 0.055)
Tb (0.686, 0.314, 0.445)
Tb (0.696, 0.304, 0.750)
Tb (0.925, 0.075, 0.106)
Tb (0.925, 0.075, 0.394)
Hg (0.077, 0.923, 0.141)
Hg (0.077, 0.923, 0.359)
Hg (0.923, 0.077, 0.641)
Hg (0.923, 0.077, 0.859)
N (0.130, 0.870, 0.750)
N (0.870, 0.130, 0.250)

Results
**Formation energy (no corrections)**: -0.357 eV/atom
**M_tot**: 0.000 μB/f.u.
**D(E_F)**: 0.929 states/eV/atom
**Crystal system**: orthorhombic
**Space-group type**: Cmcm



3.
This record from Alexandria via LeMat-Bulk describes K3HfGe after structural relaxation. The functional is PBE.

a = 6.399 Å, b = 6.399 Å, c = 6.399 Å
α = 90.00°, β = 90.00°, γ = 90.00°
Positions (direct):
K (0.000, 0.000, 0.500)
K (0.000, 0.500, 0.000)
K (0.500, 0.000, 0.000)
Hf (0.500, 0.500, 0.500)
Ge (0.000, 0.000, 0.000)

Results
**M_tot**: 1.000 μB/f.u.
**Polymorph energy (0 for the lowest one)**: 0 kJ/mol of formula units
**D(E_F)**: 5.008 states/eV/atom
**Crystal system**: cubic
**Space-group type**: Pm-3m



4.
This record from Alexandria via LeMat-Bulk describes CsMoCl2 after structural relaxation. The functional is PBE.

a = 8.831 Å, b = 8.831 Å, c = 8.831 Å
α = 35.01°, β = 35.01°, γ = 35.01°
Positions (direct):
Cs (0.000, 0.000, 0.000)
Mo (0.500, 0.500, 0.500)
Cl (0.402, 0.402, 0.402)
Cl (0.598, 0.598, 0.598)

Results
**Formation energy (no corrections)**: -0.419 eV/atom
**M_tot**: 5.000 μB/f.u.
**Polymorph energy (0 for the lowest one)**: 0 kJ/mol of formula units
**D(E_F)**: 0.000 states/eV/atom
**Crystal system**: trigonal
**Space-group type**: R-3m



5.
This record from Alexandria via LeMat-Bulk describes NaMnPS2 after structural relaxation. The functional is PBE.

a = 4.713 Å, b = 4.713 Å, c = 4.415 Å
α = 90.00°, β = 90.00°, γ = 90.00°
Positions (direct):
Na (0.000, 0.000, 0.000)
Mn (0.500, 0.500, 0.500)
P (0.500, 0.500, 0.000)
S (0.000, 0.500, 0.500)
S (0.500, 0.000, 0.500)

Results
**Formation energy (no corrections)**: -0.123 eV/atom
**M_tot**: 2.488 μB/f.u.
**Polymorph energy (0 for the lowest one)**: 0 kJ/mol of formula units
**D(E_F)**: 0.610 states/eV/atom
**Crystal system**: tetragonal
**Space-group type**: P4/mmm



6.
This record from Alexandria via LeMat-Bulk describes Zn2CrAg after structural relaxation. The functional is PBE.

a = 2.980 Å, b = 2.980 Å, c = 7.084 Å
α = 90.00°, β = 90.00°, γ = 90.00°
Positions (direct):
Zn (0.000, 0.000, 0.000)
Zn (0.500, 0.500, 0.234)
Cr (0.500, 0.500, 0.765)
Ag (0.000, 0.000, 0.490)

Results
**M_tot**: 3.746 μB/f.u.
**Final energy**: -3.541 eV/atom
**D(E_F)**: 0.416 states/eV/atom
**Crystal system**: tetragonal
**Space-group type**: P4mm